An optimized crystal structure of AuSe3. Source: the Alexandria database, functional GGA-PBEsol.

extended XYZ file:
```
8
Lattice="4.992 0.000 0.000 0.000 5.134 0.000 0.000 0.000 7.830" Properties=species:S:1:pos:R:3 pbc="T T T"
Au 0.000 0.000 4.591
Au 2.496 2.567 3.239
Se 2.496 0.000 3.937
Se 0.000 2.567 3.893
Se 0.000 3.843 7.529
Se 0.000 1.290 7.529
Se 2.496 1.277 0.301
Se 2.496 3.857 0.301
```

For the formation energy without anion corrections, the calculation gives 0.19 eV/atom. The density of states at the Fermi level comes out at 4.75 states/eV per cell. For the energy, the calculation gives -29.43 eV/cell.